[1]
Entry from the Alexandria database: a relaxed structure of Nd4TmIn2 (PBE). Values from VASP.

Geometry as Quantum ESPRESSO input:
```
&SYSTEM
  ibrav = 0, nat = 14, ntyp = 3
/
ATOMIC_SPECIES
Nd 144.24 Nd.upf
In 114.82 In.upf
Tm 168.93 Tm.upf
CELL_PARAMETERS angstrom
8.4331 0.0782 1.5189
-0.3919 9.1670 -2.2250
-2.7293 -6.4227 6.7334
ATOMIC_POSITIONS crystal
Nd 0.3413 0.0558 0.8102
In 0.1375 0.4213 0.8852
In 0.6747 0.7854 0.0657
In 0.6774 0.1783 0.1462
Nd 0.5057 0.5798 0.5640
Tm 0.9243 0.7441 0.6226
Nd 0.0184 0.8549 0.3493
Nd 0.0520 0.2165 0.3513
Tm 0.1463 0.4321 0.2135
Nd 0.7614 0.2710 0.9074
Nd 0.5153 0.7332 0.3083
Nd 0.7880 0.3565 0.6224
Nd 0.3002 0.8596 0.0201
In 0.4076 0.2614 0.6339
```

Output
Symmetry: P1
Energy of formation in meV/atom: -180
Excess energy over the best structure of this formula in the dataset in eV per atom: 0.000

=====

[2]
Entry from the Alexandria database: a relaxed structure of Nd2Tm3In (PBE). Values from VASP.

Geometry as Quantum ESPRESSO input:
```
&SYSTEM
  ibrav = 0, nat = 6, ntyp = 3
/
ATOMIC_SPECIES
In 114.82 In.upf
Tm 168.93 Tm.upf
Nd 144.24 Nd.upf
CELL_PARAMETERS angstrom
-2.5143 0.6157 -4.1798
0.9169 -4.6227 -1.2325
-6.7835 0.1281 4.0994
ATOMIC_POSITIONS crystal
In 0.0000 0.0000 0.0000
Tm 0.5000 0.5000 0.0000
Nd 0.0000 0.6620 0.3239
Tm 0.5000 0.1643 0.3286
Nd 0.0000 0.3380 0.6761
Tm 0.5000 0.8357 0.6714
```

Output
Symmetry: Cmmm
Energy of formation in meV/atom: -144
Excess energy over the best structure of this formula in the dataset in eV per atom: 0.000

=====

[3]
Entry from the Alexandria database: a relaxed structure of Nd2Tm4In5 (PBE). Values from VASP.

Geometry as Quantum ESPRESSO input:
```
&SYSTEM
  ibrav = 0, nat = 11, ntyp = 3
/
ATOMIC_SPECIES
In 114.82 In.upf
Tm 168.93 Tm.upf
Nd 144.24 Nd.upf
CELL_PARAMETERS angstrom
-4.3161 -2.7747 -3.6864
-3.6050 -4.4793 2.1782
-9.0860 5.5820 1.0224
ATOMIC_POSITIONS crystal
In 0.0000 0.5000 0.0000
In 0.5000 0.0000 0.0000
Tm 0.7959 0.6623 0.7459
In 0.2500 0.5000 0.5000
In 0.5000 0.5000 0.0000
Tm 0.2041 0.3377 0.2541
Tm 0.4582 0.3377 0.7459
Nd 0.8900 0.0000 0.2201
Tm 0.5418 0.6623 0.2541
Nd 0.1100 0.0000 0.7799
In 0.7500 0.5000 0.5000
```

Output
Symmetry: Fmmm
Energy of formation in meV/atom: -151

=====

[4]
Entry from the Alexandria database: a relaxed structure of NdTm2In2 (PBE). Values from VASP.

Geometry as Quantum ESPRESSO input:
```
&SYSTEM
  ibrav = 0, nat = 5, ntyp = 3
/
ATOMIC_SPECIES
In 114.82 In.upf
Tm 168.93 Tm.upf
Nd 144.24 Nd.upf
CELL_PARAMETERS angstrom
-4.4965 -1.0622 2.2829
4.1205 -2.9538 0.9248
1.6100 3.7909 4.9348
ATOMIC_POSITIONS crystal
In 0.0000 0.0000 0.2474
Tm 0.3333 0.6667 0.5000
Tm 0.6667 0.3333 0.0000
In 0.0000 0.0000 0.7526
Nd 0.3333 0.6667 0.0000
```

Output
Symmetry: P-6m2
Energy of formation in meV/atom: -29
Excess energy over the best structure of this formula in the dataset in eV per atom: 0.133

=====

[5]
Entry from the Alexandria database: a relaxed structure of Nd9Tm2In (PBE). Values from VASP.

Geometry as Quantum ESPRESSO input:
```
&SYSTEM
  ibrav = 0, nat = 12, ntyp = 3
/
ATOMIC_SPECIES
In 114.82 In.upf
Nd 144.24 Nd.upf
Tm 168.93 Tm.upf
CELL_PARAMETERS angstrom
-1.2721 4.8015 0.9851
-4.8947 -1.1906 -0.5176
-0.7896 -3.2976 15.0533
ATOMIC_POSITIONS crystal
In 0.0000 0.0000 0.0000
Nd 0.0000 0.5000 0.1622
Nd 0.5000 0.5000 0.6686
Nd 0.0000 0.5000 0.5000
Nd 0.5000 0.0000 0.5000
Nd 0.5000 0.5000 0.3314
Nd 0.5000 0.5000 0.0000
Nd 0.5000 0.0000 0.8378
Tm 0.0000 0.0000 0.6678
Nd 0.0000 0.5000 0.8378
Tm 0.0000 0.0000 0.3322
Nd 0.5000 0.0000 0.1622
```

Output
Symmetry: P4/mmm
Energy of formation in meV/atom: -73

=====

[6]
Entry from the Alexandria database: a relaxed structure of Nd8TmIn2 (PBE). Values from VASP.

Geometry as Quantum ESPRESSO input:
```
&SYSTEM
  ibrav = 0, nat = 11, ntyp = 3
/
ATOMIC_SPECIES
Nd 144.24 Nd.upf
In 114.82 In.upf
Tm 168.93 Tm.upf
CELL_PARAMETERS angstrom
-1.0575 5.5718 -1.4855
-6.9393 -4.4839 -3.6529
0.9119 0.3742 8.9795
ATOMIC_POSITIONS crystal
Nd 0.8734 0.6774 0.9061
Nd 0.5000 0.7835 0.2165
Nd 0.1266 0.3226 0.0939
Nd 0.7068 0.4068 0.4068
Nd 0.5000 0.2165 0.7835
Nd 0.8734 0.9061 0.6774
Nd 0.1266 0.0939 0.3226
In 0.0000 0.6937 0.3063
Nd 0.2932 0.5932 0.5932
Tm 0.5000 0.0000 0.0000
In 0.0000 0.3063 0.6937
```

Output
Symmetry: C2/m
Energy of formation in meV/atom: -62

=====

[7]
Entry from the Alexandria database: a relaxed structure of Nd2Tm4In (PBE). Values from VASP.

Geometry as Quantum ESPRESSO input:
```
&SYSTEM
  ibrav = 0, nat = 7, ntyp = 3
/
ATOMIC_SPECIES
Nd 144.24 Nd.upf
Tm 168.93 Tm.upf
In 114.82 In.upf
CELL_PARAMETERS angstrom
-2.6489 2.0547 1.2886
-2.6287 -1.4747 1.9529
8.5485 3.3064 17.3060
ATOMIC_POSITIONS crystal
Nd 0.8061 0.8061 0.5817
Tm 0.9095 0.9095 0.2714
Tm 0.7092 0.7092 0.8723
In 0.0000 0.0000 0.0000
Nd 0.1939 0.1939 0.4183
Tm 0.0905 0.0905 0.7286
Tm 0.2908 0.2908 0.1277
```

Output
Symmetry: R-3m
Energy of formation in meV/atom: -66
Excess energy over the best structure of this formula in the dataset in eV per atom: 0.000

=====

[8]
Entry from the Alexandria database: a relaxed structure of Nd2Tm5In5 (PBE). Values from VASP.

Geometry as Quantum ESPRESSO input:
```
&SYSTEM
  ibrav = 0, nat = 12, ntyp = 3
/
ATOMIC_SPECIES
Tm 168.93 Tm.upf
Nd 144.24 Nd.upf
In 114.82 In.upf
CELL_PARAMETERS angstrom
-4.4066 1.9628 1.4435
-0.6729 -4.4021 -4.8505
0.6571 -5.9730 10.1277
ATOMIC_POSITIONS crystal
Tm 0.6279 0.2558 0.2785
Nd 0.0760 0.1521 0.7561
In 0.7529 0.5059 0.7863
Tm 0.5000 0.0000 0.5000
In 0.8316 0.6631 0.5305
In 0.2471 0.4941 0.2137
In 0.0000 0.0000 0.0000
Tm 0.3490 0.6980 0.9969
Nd 0.9240 0.8479 0.2439
Tm 0.6510 0.3020 0.0031
Tm 0.3721 0.7442 0.7215
In 0.1684 0.3369 0.4695
```

Output
Symmetry: C2/m
Energy of formation in meV/atom: -293